[1]
VASP calculation (PBE) on a geometry-optimized Ta4B2Os5 structure.

extended XYZ file:
```
11
Lattice="3.123 0.000 0.000 0.000 6.412 -0.074 0.000 -0.715 7.925" Properties=species:S:1:pos:R:3 pbc="T T T"
Ta 1.561 5.135 1.160
B 0.000 -0.035 4.884
Os 0.000 2.348 5.269
B 0.000 5.733 2.967
Ta 1.561 1.119 3.449
Ta 1.561 4.578 4.401
Ta 1.561 0.563 6.691
Os 0.000 0.914 1.186
Os 0.000 3.349 2.582
Os 0.000 3.206 -0.037
Os 0.000 4.783 6.664
```

Properties
ΔE_f in eV per atom: -0.281
Total DFT energy (no corrections) in eV per atom: -10.910
SG: No. 10



[2]
VASP calculation (PBE) on a geometry-optimized Ca3CdSn3 structure.

extended XYZ file:
```
14
Lattice="4.809 0.000 0.724 2.367 5.828 0.611 0.252 0.161 14.647" Properties=species:S:1:pos:R:3 pbc="T T T"
Sn 4.641 0.952 1.835
Cd 3.962 0.474 6.346
Sn 0.738 1.276 11.427
Cd 3.466 5.514 9.637
Ca 1.915 1.431 3.610
Sn 1.429 1.769 6.838
Sn 5.999 4.219 9.144
Ca 5.513 4.558 12.373
Sn 2.787 5.036 14.147
Ca 3.464 1.985 9.648
Ca 2.813 1.757 13.975
Ca 3.963 4.003 6.335
Sn 6.690 4.712 4.555
Ca 4.615 4.231 2.007
```

Properties
ΔE_f in eV per atom: -0.566
Total DFT energy (no corrections) in eV per atom: -3.270
SG: No. 12



[3]
VASP calculation (PBE) on a geometry-optimized HoSbPb structure.

extended XYZ file:
```
6
Lattice="5.285 0.000 0.000 2.643 4.577 0.000 2.643 1.526 8.014" Properties=species:S:1:pos:R:3 pbc="T T T"
Pb 2.643 1.526 4.427
Sb 2.643 1.526 1.298
Ho 5.285 3.052 1.836
Ho 5.285 3.052 6.179
Sb 7.928 4.577 6.717
Pb 7.928 4.577 3.587
```

Properties
Total DFT energy (no corrections) in eV per atom: -4.518
SG: No. 166
E_form (uncorrected) in eV/atom: -0.38



[4]
VASP calculation (PBE) on a geometry-optimized SrCeZnSi structure.

extended XYZ file:
```
4
Lattice="-3.567 -1.035 3.702 -3.184 -4.136 -0.509 0.597 -4.169 3.124" Properties=species:S:1:pos:R:3 pbc="T T T"
Ce 0.000 0.000 0.000
Zn -1.539 -2.335 1.579
Sr -3.077 -4.670 3.158
Si -4.616 -7.004 4.737
```

Properties
Total DFT energy (no corrections) in eV per atom: -3.808
SG: No. 216
E_form (uncorrected) in eV/atom: -0.23



[5]
VASP calculation (PBE) on a geometry-optimized Ti8Sn2Bi structure.

extended XYZ file:
```
11
Lattice="4.638 0.000 0.000 0.000 7.147 -0.107 -2.319 -3.231 6.195" Properties=species:S:1:pos:R:3 pbc="T T T"
Ti 2.319 3.411 4.158
Bi 2.319 0.000 0.000
Sn 2.319 0.586 3.632
Ti 2.319 2.646 1.043
Ti 0.000 5.145 0.306
Ti 0.000 -1.334 3.986
Ti 2.319 5.250 2.101
Ti 0.000 0.505 1.929
Sn 0.000 3.331 2.456
Ti 2.319 -1.229 5.782
Ti 0.000 1.271 5.045
```

Properties
ΔE_f in eV per atom: -0.189
Total DFT energy (no corrections) in eV per atom: -7.012
SG: No. 12



[6]
VASP calculation (PBE) on a geometry-optimized Nd4DySb5 structure.

extended XYZ file:
```
10
Lattice="-4.475 0.086 0.460 0.280 -3.048 3.298 3.421 13.164 8.808" Properties=species:S:1:pos:R:3 pbc="T T T"
Sb 0.260 2.295 2.099
Sb 0.794 7.011 6.413
Sb -1.568 3.192 6.152
Sb -1.034 7.908 10.466
Nd 1.060 9.359 8.561
Nd -1.301 5.546 8.306
Nd 0.528 4.657 4.260
Nd -1.834 0.843 4.004
Sb -2.097 -1.481 1.879
Dy 0.000 0.000 0.000
```

Properties
Total DFT energy (no corrections) in eV per atom: -5.602
SG: No. 139
E_form (uncorrected) in eV/atom: -1.17



[7]
VASP calculation (PBE) on a geometry-optimized Ti5Nb4W2 structure.

extended XYZ file:
```
11
Lattice="2.765 0.000 0.000 0.000 7.435 0.000 -1.382 -3.718 9.937" Properties=species:S:1:pos:R:3 pbc="T T T"
Nb 1.382 3.718 2.322
Ti 1.382 -2.340 7.096
Nb 0.000 0.000 7.615
W 0.000 0.000 5.114
Ti 1.382 0.000 0.000
W 1.382 3.718 4.823
Ti 0.000 6.058 2.841
Ti 0.000 1.377 2.841
Nb 0.000 5.081 0.000
Ti 1.382 2.340 7.096
Nb 0.000 2.354 0.000
```

Properties
ΔE_f in eV per atom: 0.546
Total DFT energy (no corrections) in eV per atom: -9.059
Distance to the lowest polymorph of the same formula in eV/atom: 0.367
SG: No. 71



[8]
VASP calculation (PBE) on a geometry-optimized Tb2Th5 structure.

extended XYZ file:
```
7
Lattice="5.020 0.000 0.000 -2.510 5.600 -0.748 0.000 -0.037 8.001" Properties=species:S:1:pos:R:3 pbc="T T T"
Th 2.510 -0.019 4.000
Tb 0.000 0.780 1.628
Th 0.000 2.376 4.824
Th 2.510 1.582 7.223
Th 2.510 3.187 2.429
Tb 2.510 4.783 5.624
Th 0.000 3.980 0.030
```

Properties
ΔE_f in eV per atom: 0.047
Total DFT energy (no corrections) in eV per atom: -6.576
SG: No. 12



no.,D(E_F) (states/eV/cell)
1,6.994
2,5.606
3,1.052
4,8.543
5,14.931
6,1.185
7,11.603
8,11.346